Entry 1:
The following is a DFT calculation (GGA+U) of an optimized crystal structure of Ca6FeCo3O12.

Theoretical density, Mg/m³: 4.36
E, eV/atom: -6.341

Cell: 6.3335 6.3335 6.3335 Å, 92.48 92.48 92.48°
Fractional coordinates of all 22 atoms:
Ca1 0.3680 0.6320 0.0000
Ca2 0.6320 0.0000 0.3680
Ca3 0.0000 0.3680 0.6320
Ca4 0.8693 0.5000 0.1307
Ca5 0.5000 0.1307 0.8693
Ca6 0.1307 0.8693 0.5000
Fe1 0.5000 0.5000 0.5000
Co1 0.2500 0.2500 0.2500
Co2 0.7500 0.7500 0.7500
Co3 0.0000 0.0000 0.0000
O1 0.2878 0.9606 0.1555
O2 0.9606 0.1555 0.2878
O3 0.1555 0.2878 0.9606
O4 0.7888 0.6576 0.4593
O5 0.6576 0.4593 0.7888
O6 0.4593 0.7888 0.6576
O7 0.2112 0.5407 0.3424
O8 0.5407 0.3424 0.2112
O9 0.3424 0.2112 0.5407
O10 0.7122 0.8445 0.0394
O11 0.8445 0.0394 0.7122
O12 0.0394 0.7122 0.8445



Entry 2:
The following is a DFT calculation (GGA+U) of an optimized crystal structure of Ca2FeCoO4.

Theoretical density, Mg/m³: 4.49
E, eV/atom: -6.362

Cell: 3.2583 5.6922 5.5125 Å, 110.59 90.00 90.00°
Fractional coordinates of all 8 atoms:
Ca1 0.5000 0.0000 0.5000
Ca2 0.0000 0.5000 0.5000
Fe1 0.5000 0.5000 0.0000
Co1 0.0000 0.0000 0.0000
O1 0.5000 0.2378 0.2289
O2 0.5000 0.7622 0.7711
O3 0.0000 0.2581 0.7729
O4 0.0000 0.7419 0.2271



Entry 3:
The following is a DFT calculation (GGA+U) of an optimized crystal structure of Ca12FeCo7O24.

Theoretical density, Mg/m³: 4.38
E, eV/atom: -6.297

Cell: 9.1273 6.3535 8.7411 Å, 86.38 90.00 90.00°
Fractional coordinates of all 44 atoms:
Ca1 0.6868 0.6334 0.3193
Ca2 0.1859 0.6312 0.8174
Ca3 0.1859 0.3688 0.1826
Ca4 0.6868 0.3666 0.6807
Ca5 0.1289 0.0000 0.5000
Ca6 0.6291 0.0000 0.0000
Ca7 0.8140 0.1329 0.3193
Ca8 0.3154 0.1322 0.8176
Ca9 0.8689 0.5000 0.0000
Ca10 0.3720 0.5000 0.5000
Ca11 0.3154 0.8678 0.1824
Ca12 0.8140 0.8671 0.6807
Fe1 0.9987 0.0000 0.0000
Co1 0.9994 0.7505 0.2511
Co2 0.4999 0.7497 0.7499
Co3 0.9994 0.2495 0.7489
Co4 0.4999 0.2503 0.2501
Co5 0.4932 0.0000 0.5000
Co6 0.0069 0.5000 0.5000
Co7 0.5063 0.5000 0.0000
O1 0.0977 0.7102 0.0587
O2 0.6017 0.7056 0.5624
O3 0.0655 0.0405 0.2228
O4 0.5620 0.0395 0.7183
O5 0.8341 0.8420 0.1246
O6 0.3360 0.8368 0.6219
O7 0.8999 0.2072 0.5607
O8 0.3979 0.2062 0.0622
O9 0.6641 0.3377 0.1224
O10 0.1650 0.3406 0.6242
O11 0.4372 0.5400 0.2187
O12 0.9355 0.5385 0.7200
O13 0.8999 0.7929 0.4393
O14 0.3979 0.7938 0.9378
O15 0.9355 0.4615 0.2800
O16 0.4372 0.4600 0.7813
O17 0.1650 0.6594 0.3758
O18 0.6641 0.6623 0.8776
O19 0.0977 0.2898 0.9413
O20 0.6017 0.2944 0.4376
O21 0.3360 0.1632 0.3781
O22 0.8341 0.1580 0.8754
O23 0.5620 0.9605 0.2817
O24 0.0655 0.9595 0.7772



Entry 4:
The following is a DFT calculation (GGA+U) of an optimized crystal structure of Sr7CaFe7CoO24.

Theoretical density, Mg/m³: 5.21
E, eV/atom: -6.306

Cell: 7.7971 7.7971 7.7971 Å, 90.04 90.04 90.04°
Fractional coordinates of all 40 atoms:
Sr1 0.7493 0.2505 0.7493
Sr2 0.7493 0.2509 0.2509
Sr3 0.7493 0.7493 0.2505
Sr4 0.2509 0.2509 0.7493
Sr5 0.2508 0.2508 0.2508
Sr6 0.2505 0.7493 0.7493
Sr7 0.2509 0.7493 0.2509
Ca1 0.7482 0.7482 0.7482
Fe1 0.5006 0.9993 0.9993
Fe2 0.5006 0.9993 0.5006
Fe3 0.5006 0.5006 0.9993
Fe4 0.9993 0.9993 0.9993
Fe5 0.9993 0.9993 0.5006
Fe6 0.9993 0.5006 0.9993
Fe7 0.9993 0.5006 0.5006
Co1 0.5008 0.5008 0.5008
O1 0.7504 0.9975 0.9975
O2 0.7491 0.9972 0.5023
O3 0.7491 0.5023 0.9972
O4 0.7439 0.5026 0.5026
O5 0.2495 0.9993 0.9993
O6 0.2509 0.9994 0.5009
O7 0.2509 0.5009 0.9994
O8 0.2562 0.5014 0.5014
O9 0.5009 0.2509 0.9994
O10 0.5014 0.2562 0.5014
O11 0.5023 0.7491 0.9972
O12 0.5026 0.7439 0.5026
O13 0.9993 0.2495 0.9993
O14 0.9994 0.2509 0.5009
O15 0.9975 0.7504 0.9975
O16 0.9972 0.7491 0.5023
O17 0.5023 0.9972 0.7491
O18 0.5009 0.9994 0.2509
O19 0.5026 0.5026 0.7439
O20 0.5014 0.5014 0.2562
O21 0.9975 0.9975 0.7504
O22 0.9993 0.9993 0.2495
O23 0.9972 0.5023 0.7491
O24 0.9994 0.5009 0.2509



Entry 5:
The following is a DFT calculation (GGA+U) of an optimized crystal structure of Sr7CaFe4Co4O24.

Theoretical density, Mg/m³: 5.28
E, eV/atom: -6.143

Cell: 7.7785 7.7785 7.7785 Å, 90.06 90.06 90.06°
Fractional coordinates of all 40 atoms:
Sr1 0.2529 0.2529 0.7478
Sr2 0.7469 0.2536 0.7469
Sr3 0.7478 0.2529 0.2529
Sr4 0.2536 0.7469 0.7469
Sr5 0.7469 0.7469 0.7469
Sr6 0.2529 0.7478 0.2529
Sr7 0.7469 0.7469 0.2536
Ca1 0.2608 0.2608 0.2608
Fe1 0.0011 0.0011 0.0011
Fe2 0.4994 0.0011 0.0011
Fe3 0.0011 0.0011 0.4994
Fe4 0.0011 0.4994 0.0011
Co1 0.4996 0.0013 0.4996
Co2 0.4996 0.4996 0.0013
Co3 0.0013 0.4996 0.4996
Co4 0.5005 0.5005 0.5005
O1 0.0013 0.2553 0.0013
O2 0.4988 0.2589 0.0019
O3 0.0019 0.2589 0.4988
O4 0.4931 0.2517 0.4931
O5 0.0000 0.7446 0.0000
O6 0.4987 0.7407 0.0014
O7 0.0014 0.7407 0.4987
O8 0.4993 0.7476 0.4993
O9 0.0000 0.0000 0.7446
O10 0.4987 0.0014 0.7407
O11 0.0013 0.0013 0.2553
O12 0.4988 0.0019 0.2589
O13 0.0014 0.4987 0.7407
O14 0.4993 0.4993 0.7476
O15 0.0019 0.4988 0.2589
O16 0.4931 0.4931 0.2517
O17 0.2553 0.0013 0.0013
O18 0.7446 0.0000 0.0000
O19 0.2589 0.0019 0.4988
O20 0.7407 0.0014 0.4987
O21 0.2589 0.4988 0.0019
O22 0.7407 0.4987 0.0014
O23 0.2517 0.4931 0.4931
O24 0.7476 0.4993 0.4993



Entry 6:
The following is a DFT calculation (GGA+U) of an optimized crystal structure of Sr3Ca5FeCo7O24.

Theoretical density, Mg/m³: 4.84
E, eV/atom: -6.046

Cell: 7.6734 7.6565 7.6897 Å, 89.67 89.84 90.14°
Fractional coordinates of all 40 atoms:
Sr1 0.2416 0.7476 0.7351
Sr2 0.2593 0.2490 0.7604
Sr3 0.7628 0.2516 0.7638
Ca1 0.2183 0.7522 0.2342
Ca2 0.2641 0.2491 0.2568
Ca3 0.7442 0.7527 0.7416
Ca4 0.7366 0.7504 0.2283
Ca5 0.7662 0.2479 0.2745
Fe1 0.9966 0.0006 0.0027
Co1 0.9982 0.5015 0.0045
Co2 0.9995 0.9978 0.4969
Co3 0.0001 0.5012 0.4955
Co4 0.4985 0.9982 0.0065
Co5 0.5023 0.5014 0.0022
Co6 0.5040 0.9981 0.4978
Co7 0.5037 0.5011 0.4939
O1 0.2470 0.0324 0.0393
O2 0.2380 0.4680 0.0350
O3 0.2371 0.9693 0.4643
O4 0.2359 0.5310 0.4666
O5 0.7456 0.9578 0.9707
O6 0.7606 0.5424 0.9710
O7 0.7649 0.0307 0.5251
O8 0.7674 0.4691 0.5162
O9 0.0267 0.0270 0.7478
O10 0.0264 0.4668 0.7501
O11 0.9610 0.9614 0.2539
O12 0.9675 0.5499 0.2488
O13 0.4821 0.9831 0.7286
O14 0.4854 0.5141 0.7672
O15 0.5332 0.0173 0.2693
O16 0.5329 0.4809 0.2337
O17 0.0342 0.7463 0.9788
O18 0.9585 0.2556 0.0362
O19 0.9707 0.7498 0.5440
O20 0.0294 0.2501 0.4490
O21 0.4635 0.7656 0.0279
O22 0.5248 0.2302 0.9909
O23 0.5352 0.7341 0.4853
O24 0.4762 0.2664 0.5055



Entry 7:
The following is a DFT calculation (GGA+U) of an optimized crystal structure of SrCa7FeCo7O24.

Theoretical density, Mg/m³: 4.61
E, eV/atom: -6.014

Cell: 7.6065 7.6065 7.6065 Å, 89.99 89.99 89.99°
Fractional coordinates of all 40 atoms:
Sr1 0.7481 0.7481 0.7481
Ca1 0.2523 0.2523 0.7492
Ca2 0.7475 0.2515 0.7475
Ca3 0.2550 0.2550 0.2550
Ca4 0.7492 0.2523 0.2523
Ca5 0.2515 0.7475 0.7475
Ca6 0.2523 0.7492 0.2523
Ca7 0.7475 0.7475 0.2515
Fe1 0.0010 0.0010 0.0010
Co1 0.4995 0.0013 0.0013
Co2 0.0013 0.0013 0.4995
Co3 0.4998 0.0005 0.4998
Co4 0.0013 0.4995 0.0013
Co5 0.4998 0.4998 0.0005
Co6 0.0005 0.4998 0.4998
Co7 0.4991 0.4991 0.4991
O1 0.0018 0.2549 0.0018
O2 0.5002 0.2485 0.0010
O3 0.0010 0.2485 0.5002
O4 0.4979 0.2519 0.4979
O5 0.0021 0.7456 0.0021
O6 0.4964 0.7517 0.0025
O7 0.0025 0.7517 0.4964
O8 0.4953 0.7471 0.4953
O9 0.0021 0.0021 0.7456
O10 0.4964 0.0025 0.7517
O11 0.0018 0.0018 0.2549
O12 0.5002 0.0010 0.2485
O13 0.0025 0.4964 0.7517
O14 0.4953 0.4953 0.7471
O15 0.0010 0.5002 0.2485
O16 0.4979 0.4979 0.2519
O17 0.2549 0.0018 0.0018
O18 0.7456 0.0021 0.0021
O19 0.2485 0.0010 0.5002
O20 0.7517 0.0025 0.4964
O21 0.2485 0.5002 0.0010
O22 0.7517 0.4964 0.0025
O23 0.2519 0.4979 0.4979
O24 0.7471 0.4953 0.4953



Entry 8:
The following is a DFT calculation (GGA+U) of an optimized crystal structure of Sr2Ca6FeCo7O24.

Theoretical density, Mg/m³: 4.73
E, eV/atom: -6.021

Cell: 7.6309 7.6309 7.6491 Å, 90.00 90.00 90.05°
Fractional coordinates of all 40 atoms:
Sr1 0.2512 0.2512 0.7497
Sr2 0.2512 0.2512 0.2503
Ca1 0.7486 0.2515 0.7505
Ca2 0.7477 0.7477 0.7502
Ca3 0.2515 0.7486 0.7505
Ca4 0.7486 0.2515 0.2495
Ca5 0.7477 0.7477 0.2498
Ca6 0.2515 0.7486 0.2495
Fe1 0.9990 0.9990 0.0000
Co1 0.5021 0.9980 0.0000
Co2 0.9980 0.5021 0.0000
Co3 0.5016 0.5016 0.0000
Co4 0.9978 0.9978 0.5000
Co5 0.5015 0.9979 0.5000
Co6 0.9979 0.5015 0.5000
Co7 0.5013 0.5013 0.5000
O1 0.9976 0.9976 0.7358
O2 0.5052 0.9944 0.7511
O3 0.9944 0.5052 0.7511
O4 0.5029 0.5029 0.7625
O5 0.9976 0.9976 0.2642
O6 0.5052 0.9944 0.2489
O7 0.9944 0.5052 0.2489
O8 0.5029 0.5029 0.2375
O9 0.9944 0.2504 0.0000
O10 0.5070 0.2412 0.0000
O11 0.9975 0.7503 0.0000
O12 0.5017 0.7571 0.0000
O13 0.9925 0.2597 0.5000
O14 0.5041 0.2566 0.5000
O15 0.0004 0.7419 0.5000
O16 0.5045 0.7436 0.5000
O17 0.7503 0.9975 0.0000
O18 0.2504 0.9944 0.0000
O19 0.7571 0.5017 0.0000
O20 0.2412 0.5070 0.0000
O21 0.7419 0.0004 0.5000
O22 0.2597 0.9925 0.5000
O23 0.7436 0.5045 0.5000
O24 0.2566 0.5041 0.5000